Entry 1:
# Sm7ScTl4

Crystalline Sm7ScTl4 at its relaxed geometry (PBE, Alexandria).

abc: 8.107 8.107 9.892
angles: 119.28 119.28 42.12
Element x y z (fractional)
Sm1 0.000 0.000 0.000
Sm2 0.246 0.246 0.700
Sm3 0.298 0.298 0.118
Sm4 0.433 0.433 0.598
Sm5 0.567 0.567 0.402
Sm6 0.702 0.702 0.882
Sm7 0.754 0.754 0.300
Sc1 0.500 0.500 0.000
Tl1 0.048 0.048 0.711
Tl2 0.185 0.185 0.340
Tl3 0.815 0.815 0.660
Tl4 0.952 0.952 0.289

Computed properties:
- E (eV for the cell shown) = -49.5
- density (g/cm³) = 8.6
- symmetry = C2/m (12)
- formation energy from the elements (eV per formula unit) = -0.63

---

Entry 2:
# Hf2SiC

Crystalline Hf2SiC at its relaxed geometry (PBE, Alexandria).

abc: 4.439 4.439 4.439
angles: 60.00 60.00 60.00
Element x y z (fractional)
Hf1 0.250 0.250 0.250
Hf2 0.750 0.750 0.750
Si1 0.000 0.000 0.000
C1 0.500 0.500 0.500

Computed properties:
- E (eV for the cell shown) = -32.9
- density (g/cm³) = 10.7
- raw formation energy (meV per atom) = 420
- symmetry = Fm-3m (225)

---

Entry 3:
# MgCo2Pt

Crystalline MgCo2Pt at its relaxed geometry (PBE, Alexandria).

abc: 4.564 4.564 4.564
angles: 130.13 130.13 73.20
Element x y z (fractional)
Mg1 0.000 0.000 0.000
Co1 0.500 0.500 0.000
Co2 0.750 0.250 0.500
Pt1 0.250 0.750 0.500

Computed properties:
- E (eV for the cell shown) = -22.4
- density (g/cm³) = 10.3
- symmetry = I-4m2 (119)
- formation energy from the elements (eV per formula unit) = -0.53

---

Entry 4:
# AlIr2Cl

Crystalline AlIr2Cl at its relaxed geometry (PBE, Alexandria).

abc: 6.198 6.198 6.198
angles: 153.97 141.29 47.24
Element x y z (fractional)
Al1 0.000 0.000 0.000
Ir1 0.206 0.706 0.500
Ir2 0.417 0.417 0.000
Cl1 0.718 0.218 0.500

Computed properties:
- E (eV for the cell shown) = -22.2
- density (g/cm³) = 11.4
- raw formation energy (meV per atom) = 269
- symmetry = Imm2 (44)

---

Entry 5:
# Pr6GaRu2Cl3

Crystalline Pr6GaRu2Cl3 at its relaxed geometry (PBE, Alexandria).

abc: 7.237 7.237 7.944
angles: 98.69 98.69 120.12
Element x y z (fractional)
Pr1 0.075 0.431 0.790
Pr2 0.215 0.215 0.212
Pr3 0.431 0.075 0.790
Pr4 0.569 0.925 0.210
Pr5 0.785 0.785 0.788
Pr6 0.925 0.569 0.210
Ga1 0.500 0.500 0.000
Ru1 0.166 0.834 0.000
Ru2 0.834 0.166 0.000
Cl1 0.000 0.000 0.500
Cl2 0.331 0.669 0.500
Cl3 0.669 0.331 0.500

Computed properties:
- E (eV for the cell shown) = -66.8
- density (g/cm³) = 5.9
- raw formation energy (meV per atom) = -920
- symmetry = C2/m (12)

---

Entry 6:
# AcTb3Tm7

Crystalline AcTb3Tm7 at its relaxed geometry (PBE, Alexandria).

abc: 6.959 5.531 9.821
angles: 90.00 108.46 90.00
Element x y z (fractional)
Ac1 0.000 0.000 0.000
Tb1 0.276 0.500 0.492
Tb2 0.500 0.000 0.000
Tb3 0.724 0.500 0.508
Tm1 0.000 0.000 0.500
Tm2 0.150 0.500 0.788
Tm3 0.331 0.500 0.144
Tm4 0.438 0.000 0.333
Tm5 0.562 0.000 0.667
Tm6 0.669 0.500 0.856
Tm7 0.850 0.500 0.212

Computed properties:
- E (eV for the cell shown) = -47.5
- density (g/cm³) = 8.7
- symmetry = P2/m (10)
- formation energy from the elements (eV per formula unit) = 1.79

---

Entry 7:
# CeCuNiP2

Crystalline CeCuNiP2 at its relaxed geometry (PBE, Alexandria).

abc: 5.897 5.897 5.897
angles: 142.04 142.04 54.77
Element x y z (fractional)
Ce1 0.000 0.000 0.000
Cu1 0.250 0.750 0.500
Ni1 0.750 0.250 0.500
P1 0.375 0.375 0.000
P2 0.625 0.625 0.000

Computed properties:
- E (eV for the cell shown) = -30.9
- density (g/cm³) = 7.0
- symmetry = I-4m2 (119)
- formation energy from the elements (eV per formula unit) = -4.25

---

Entry 8:
# Ba2YCr

Crystalline Ba2YCr at its relaxed geometry (PBE, Alexandria).

abc: 8.406 8.406 8.406
angles: 96.84 96.84 139.64
Element x y z (fractional)
Ba1 0.008 0.625 0.883
Ba2 0.375 0.258 0.383
Ba3 0.742 0.125 0.117
Ba4 0.875 0.992 0.617
Y1 0.250 0.750 0.500
Y2 0.500 0.500 0.000
Cr1 0.000 0.000 0.000
Cr2 0.750 0.250 0.500

Computed properties:
- E (eV for the cell shown) = -33.7
- density (g/cm³) = 3.8
- symmetry = I-42d (122)
- formation energy from the elements (eV per formula unit) = 3.08